Entry P
{"formula": "RbPrI3", "functional": "PBE-GGA", "state": "relaxed", "magnetic_moment_mub_per_cell": 0.537, "space_group": "P6_3/mmc", "lattice_angstrom": [[-6.748, 1.869, -0.953], [-1.566, -7.694, -3.992], [-1.030, 0.730, 8.718]], "species": ["Pr", "Pr", "I", "I", "I", "I", "I", "I", "Rb", "Rb"], "fractional_positions": [[0.500, 0.000, 0.000], [0.000, 0.000, 0.000], [0.250, 0.823, 0.646], [0.750, 0.177, 0.354], [0.250, 0.823, 0.177], [0.750, 0.177, 0.823], [0.250, 0.354, 0.177], [0.750, 0.646, 0.823], [0.250, 0.333, 0.667], [0.750, 0.667, 0.333]]}

Entry Q
{"formula": "RbPrI3", "functional": "PBE-GGA", "state": "relaxed", "magnetic_moment_mub_per_cell": 0.002, "space_group": "Pm-3m", "lattice_angstrom": [[6.283, 0.000, 0.000], [0.000, 6.283, 0.000], [0.000, 0.000, 6.283]], "species": ["I", "I", "I", "Pr", "Rb"], "fractional_positions": [[0.000, 0.000, 0.500], [0.500, 0.000, 0.000], [0.000, 0.500, 0.000], [0.000, 0.000, 0.000], [0.500, 0.500, 0.500]]}

entry P is the most stable structure; the next one sits 93 meV/atom above it.

Entry P
{"formula": "RbPrI4", "functional": "PBE-GGA", "state": "relaxed", "magnetic_moment_mub_per_cell": 0.000, "space_group": "C2/c", "lattice_angstrom": [[-3.070, -4.881, -5.787], [6.523, 6.133, -6.008], [4.412, -7.378, 6.508]], "species": ["I", "I", "I", "I", "I", "I", "I", "I", "Pr", "Pr", "Rb", "Rb"], "fractional_positions": [[0.847, 0.892, 0.274], [0.704, 0.007, 0.870], [0.347, 0.774, 0.392], [0.204, 0.370, 0.507], [0.796, 0.630, 0.493], [0.153, 0.108, 0.726], [0.296, 0.993, 0.130], [0.653, 0.226, 0.608], [0.250, 0.067, 0.433], [0.750, 0.933, 0.567], [0.750, 0.230, 0.270], [0.250, 0.770, 0.730]]}

Entry Q
{"formula": "RbPrI4", "functional": "PBE-GGA", "state": "relaxed", "magnetic_moment_mub_per_cell": 0.000, "space_group": "C2/c", "lattice_angstrom": [[-0.177, 5.129, -5.859], [-9.061, -0.384, 2.957], [6.015, 3.419, 6.479]], "species": ["I", "I", "I", "I", "I", "I", "I", "I", "Pr", "Pr", "Rb", "Rb"], "fractional_positions": [[0.014, 0.206, 0.872], [0.358, 0.666, 0.872], [0.628, 0.054, 0.319], [0.192, 0.266, 0.319], [0.986, 0.794, 0.128], [0.808, 0.734, 0.681], [0.642, 0.334, 0.128], [0.372, 0.946, 0.681], [0.750, 0.000, 0.001], [0.250, 0.000, 0.999], [0.385, 0.635, 0.270], [0.615, 0.365, 0.730]]}

entry P is the most stable structure; the next one sits 32 meV/atom above it.

Entry P
{"formula": "PrSbI", "functional": "PBE-GGA", "state": "relaxed", "magnetic_moment_mub_per_cell": 0.000, "space_group": "P4/nmm", "lattice_angstrom": [[-5.124, 0.420, 2.273], [-2.221, -2.427, -4.559], [1.460, -11.510, 5.415]], "species": ["Sb", "Sb", "Sb", "Sb", "Pr", "Pr", "Pr", "Pr", "I", "I", "I", "I"], "fractional_positions": [[0.076, 0.000, 0.063], [0.076, 0.500, 0.937], [0.576, 0.500, 0.063], [0.576, 0.000, 0.937], [0.076, 0.000, 0.796], [0.576, 0.500, 0.796], [0.076, 0.500, 0.204], [0.576, 0.000, 0.204], [0.576, 0.000, 0.645], [0.076, 0.000, 0.355], [0.076, 0.500, 0.645], [0.576, 0.500, 0.355]]}

Entry Q
{"formula": "PrSbI", "functional": "PBE-GGA", "state": "relaxed", "magnetic_moment_mub_per_cell": 0.000, "space_group": "I4mm", "lattice_angstrom": [[-3.044, 0.680, -2.790], [-0.669, -4.122, -0.274], [-1.696, 2.034, 5.484]], "species": ["Pr", "Sb", "I"], "fractional_positions": [[0.674, 0.674, 0.349], [0.319, 0.319, 0.638], [0.007, 0.007, 0.013]]}

entry P is the most stable structure; the next one sits 246 meV/atom above it.

Entry P
{"formula": "Pr2Se2I", "functional": "PBE-GGA", "state": "relaxed", "magnetic_moment_mub_per_cell": 0.000, "space_group": "Immm", "lattice_angstrom": [[-2.012, -3.987, -0.387], [5.000, -2.683, 1.651], [-3.447, 3.690, 5.860]], "species": ["Se", "Se", "I", "Pr", "Pr"], "fractional_positions": [[0.675, 0.675, 0.349], [0.325, 0.325, 0.651], [0.000, 0.000, 0.000], [0.314, 0.814, 0.627], [0.686, 0.186, 0.373]]}

Entry Q
{"formula": "Pr2Se2I", "functional": "PBE-GGA", "state": "relaxed", "magnetic_moment_mub_per_cell": 0.000, "space_group": "C2/c", "lattice_angstrom": [[-4.905, 0.714, -1.903], [-4.029, -7.676, 0.099], [-2.610, 0.766, 7.010]], "species": ["Pr", "Pr", "Pr", "Pr", "Se", "Se", "Se", "Se", "I", "I"], "fractional_positions": [[0.882, 0.326, 0.487], [0.792, 0.326, 0.987], [0.208, 0.674, 0.013], [0.118, 0.674, 0.513], [0.632, 0.623, 0.696], [0.255, 0.377, 0.804], [0.368, 0.377, 0.304], [0.745, 0.623, 0.196], [0.870, 0.000, 0.750], [0.130, 0.000, 0.250]]}

entry P is the most stable structure; the next one sits 103 meV/atom above it.